The following is a DFT calculation (PBE) of an optimized crystal structure of InRh2Cl.

Output
* ρ: 7.8 g cm⁻³
* uncorrected formation energy: -27 meV/atom
* DOS(E_F): 0.80 states/eV/atom
* ΔE to the lowest computed polymorph: 0.000 eV/atom

```
InRh2Cl
1.0
3.559 0.000 0.000
0.000 2.978 0.217
0.000 2.436 7.305
Cl In Rh
1 1 2
Direct
0.000 0.181 0.448 Cl
0.500 0.808 0.814 In
0.000 0.105 0.018 Rh
0.500 0.405 0.220 Rh
```

***

The following is a DFT calculation (PBE) of an optimized crystal structure of InRh2Cl.

Output
* ρ: 8.7 g cm⁻³
* uncorrected formation energy: 104 meV/atom
* DOS(E_F): 1.42 states/eV/atom
* ΔE to the lowest computed polymorph: 0.132 eV/atom

```
InRh2Cl
1.0
3.174 0.000 0.000
0.000 3.174 0.000
0.000 0.000 6.755
Cl In Rh
1 1 2
Direct
0.500 0.500 0.250 Cl
0.500 0.500 0.750 In
0.000 0.000 0.984 Rh
0.000 0.000 0.516 Rh
```

***

The following is a DFT calculation (PBE) of an optimized crystal structure of InRhCl.

Output
* ρ: 6.6 g cm⁻³
* uncorrected formation energy: 10 meV/atom
* DOS(E_F): 0.80 states/eV/atom
* ΔE to the lowest computed polymorph: 0.308 eV/atom

```
InRhCl
1.0
4.483 0.000 0.000
2.242 3.882 0.000
2.242 1.294 3.660
Cl In Rh
1 1 1
Direct
0.000 0.000 0.000 Cl
0.500 0.500 0.500 In
0.750 0.750 0.750 Rh
```

***

The following is a DFT calculation (PBE) of an optimized crystal structure of InRh3Cl.

Output
* ρ: 8.7 g cm⁻³
* uncorrected formation energy: 501 meV/atom
* DOS(E_F): 0.81 states/eV/atom
* ΔE to the lowest computed polymorph: 0.000 eV/atom

```
InRh3Cl
1.0
4.447 0.000 0.000
0.000 4.447 0.000
0.000 0.000 4.447
Cl Rh In
1 3 1
Direct
0.000 0.000 0.000 Cl
0.000 0.500 0.000 Rh
0.000 0.000 0.500 Rh
0.500 0.000 0.000 Rh
0.500 0.500 0.500 In
```

***

The following is a DFT calculation (PBE) of an optimized crystal structure of InRh2Cl.

Output
* ρ: 8.5 g cm⁻³
* uncorrected formation energy: 73 meV/atom
* DOS(E_F): 0.94 states/eV/atom
* ΔE to the lowest computed polymorph: 0.100 eV/atom

```
InRh2Cl
1.0
3.079 0.000 0.000
0.000 3.800 0.000
0.000 0.000 5.948
Cl In Rh
1 1 2
Direct
0.000 0.000 0.405 Cl
0.500 0.500 0.797 In
0.000 0.000 0.011 Rh
0.500 0.500 0.286 Rh
```

***

The following is a DFT calculation (PBE) of an optimized crystal structure of InRhCl.

Output
* ρ: 6.5 g cm⁻³
* uncorrected formation energy: -256 meV/atom
* DOS(E_F): 0.95 states/eV/atom
* ΔE to the lowest computed polymorph: 0.041 eV/atom

```
InRhCl
1.0
-0.488 3.339 -0.216
-3.190 -0.482 -0.248
-0.206 -1.363 6.001
Cl Rh In
1 1 1
Direct
0.280 0.799 0.610 Cl
0.472 0.303 0.945 Rh
0.088 0.808 0.175 In
```